(1)
This record from Alexandria via LeMat-Bulk describes LiAcNdTc after structural relaxation. The functional is PBE.

Cell lengths 5.207, 5.207, 5.207 Å; angles 60.00, 60.00, 60.00 degrees
Sites, in units of the cell vectors:
Nd1 0.000 0.000 0.000
Tc1 0.750 0.750 0.750
Ac1 0.500 0.500 0.500
Li1 0.250 0.250 0.250

The total energy is -0.1896 hartree per atom.

=====

(2)
This record from Alexandria via LeMat-Bulk describes K2SrFe after structural relaxation. The functional is PBE.

Cell lengths 13.056, 13.056, 13.056 Å; angles 18.26, 18.26, 18.26 degrees
Each line ends with the local moment (μB).
Sites, in units of the cell vectors:
Fe1 0.750 0.750 0.750  3.19
K1 0.482 0.482 0.482  -0.01
K2 0.018 0.018 0.018  -0.01
Sr1 0.250 0.250 0.250  0.00

The total energy is -0.0823 hartree per atom. The excess energy over the best structure of this formula in the dataset comes out at 251 meV/atom.